K2BaMgTe | Alexandria via LeMat-Bulk | GGA-PBE | optimized geometry; SG = P4/mmm (123); total magnetic moment = 0.00 μB/f.u.; energy = -5.9 eV per cell; theoretical density = 1.8 g/cm3
1.0
7.290 0.000 0.000
0.000 7.290 0.000
0.000 0.000 6.494
K Ba Mg Te
2 1 1 1
direct
0.000 0.500 0.000
0.500 0.000 0.000
0.000 0.000 0.000
0.000 0.000 0.500
0.500 0.500 0.500